# NaSm2Zn

A relaxed structure of NaSm2Zn (PBE-GGA, Alexandria via LeMat-Bulk).

```
NaSm2Zn
1.0
-2.931 -1.208 -1.591
0.222 -1.562 -3.177
0.550 -11.313 3.621
Na Zn Sm
1 1 2
direct
0.000 0.000 0.000 Na
0.500 0.500 0.500 Zn
0.103 0.103 0.691 Sm
0.897 0.897 0.309 Sm
```

Total moment   0.000 μB/atom
Mass density   5.063 g cm⁻³
Formation enthalpy at 0 K   0.087 eV per atom

# NaSmZn17

A relaxed structure of NaSmZn17 (PBE-GGA, Alexandria via LeMat-Bulk).

```
NaSmZn17
1.0
6.783 0.025 0.829
0.737 6.743 0.829
0.028 0.025 6.833
Na Sm Zn
1 1 17
direct
0.342 0.342 0.342 Na
0.663 0.663 0.663 Sm
0.296 0.002 0.701 Zn
0.701 0.296 0.002 Zn
0.002 0.701 0.296 Zn
0.296 0.701 0.002 Zn
0.002 0.296 0.701 Zn
0.701 0.002 0.296 Zn
0.351 0.839 0.351 Zn
0.351 0.351 0.839 Zn
0.839 0.351 0.351 Zn
0.649 0.161 0.649 Zn
0.649 0.649 0.161 Zn
0.161 0.649 0.649 Zn
0.996 0.503 0.996 Zn
0.996 0.996 0.503 Zn
0.503 0.996 0.996 Zn
0.901 0.901 0.901 Zn
0.102 0.102 0.102 Zn
```

Total moment   0.000 μB/atom
Mass density   6.838 g cm⁻³
Formation enthalpy at 0 K   -0.139 eV per atom

# NaSmZn10

A relaxed structure of NaSmZn10 (PBE-GGA, Alexandria via LeMat-Bulk).

```
NaSmZn10
1.0
-3.968 1.338 -0.965
-0.071 -3.215 -4.165
-3.578 -6.789 5.300
Na Sm Zn
1 1 10
direct
0.000 0.000 0.000 Na
0.000 0.500 0.500 Sm
0.000 0.000 0.319 Zn
0.000 0.500 0.841 Zn
0.000 0.500 0.159 Zn
0.000 0.000 0.681 Zn
0.500 0.000 0.500 Zn
0.500 0.500 0.000 Zn
0.500 0.258 0.261 Zn
0.500 0.742 0.739 Zn
0.500 0.742 0.261 Zn
0.500 0.258 0.739 Zn
```

Total moment   0.000 μB/atom
Mass density   6.516 g cm⁻³
Formation enthalpy at 0 K   -0.163 eV per atom

# NaSm2Zn

A relaxed structure of NaSm2Zn (PBE-GGA, Alexandria via LeMat-Bulk).

```
NaSm2Zn
1.0
-0.375 -2.757 -2.361
1.643 -2.246 2.362
-7.873 -1.994 3.580
Na Zn Sm
1 1 2
direct
0.500 0.500 0.500 Na
0.500 0.500 0.000 Zn
0.000 0.000 0.806 Sm
0.000 0.000 0.194 Sm
```

Total moment   0.000 μB/atom
Mass density   5.466 g cm⁻³
Formation enthalpy at 0 K   -0.039 eV per atom

# NaSmZn4

A relaxed structure of NaSmZn4 (PBE-GGA, Alexandria via LeMat-Bulk).

```
NaSmZn4
1.0
5.485 0.000 0.000
2.742 4.750 0.000
2.742 1.583 4.478
Na Zn Sm
1 4 1
direct
0.250 0.250 0.250 Na
0.625 0.625 0.125 Zn
0.625 0.125 0.625 Zn
0.625 0.625 0.625 Zn
0.125 0.625 0.625 Zn
0.000 0.000 0.000 Sm
```

Total moment   0.000 μB/atom
Mass density   6.191 g cm⁻³
Formation enthalpy at 0 K   -0.155 eV per atom

# NaSn2

A relaxed structure of NaSn2 (PBE-GGA, Alexandria via LeMat-Bulk).

```
NaSn2
1.0
3.101 -0.005 0.936
0.008 3.197 -0.005
3.833 0.010 9.380
Na Sn
1 2
direct
0.622 0.025 0.447 Na
0.503 0.526 0.761 Sn
0.743 0.528 0.133 Sn
```

Total moment   0.000 μB/atom
Mass density   5.304 g cm⁻³
Formation enthalpy at 0 K   -0.095 eV per atom

# NaSn2

A relaxed structure of NaSn2 (PBE-GGA, Alexandria via LeMat-Bulk).

```
NaSn2
1.0
-3.114 -1.857 1.455
1.374 -3.386 -1.381
3.582 1.789 4.705
Na Sn
1 2
direct
0.000 0.000 0.000 Na
0.683 0.683 0.366 Sn
0.317 0.317 0.634 Sn
```

Total moment   0.000 μB/atom
Mass density   5.128 g cm⁻³
Formation enthalpy at 0 K   -0.100 eV per atom

# NaSn5

A relaxed structure of NaSn5 (PBE-GGA, Alexandria via LeMat-Bulk).

```
NaSn5
1.0
4.628 0.000 0.000
0.000 4.759 0.000
0.000 -2.380 7.391
Na Sn
1 5
direct
0.000 0.000 0.000 Na
0.000 0.663 0.326 Sn
0.000 0.337 0.674 Sn
0.500 0.500 0.000 Sn
0.500 0.165 0.330 Sn
0.500 0.835 0.670 Sn
```

Total moment   0.000 μB/atom
Mass density   6.289 g cm⁻³
Formation enthalpy at 0 K   -0.036 eV per atom

# Na3Sn

A relaxed structure of Na3Sn (PBE-GGA, Alexandria via LeMat-Bulk).

```
Na3Sn
1.0
-4.169 3.270 1.173
-4.179 -1.870 2.914
-0.746 1.726 5.091
Na Sn
3 1
direct
0.000 0.000 0.000 Na
0.500 0.500 0.500 Na
0.250 0.250 0.250 Na
0.750 0.750 0.750 Sn
```

Total moment   0.000 μB/atom
Mass density   2.758 g cm⁻³
Formation enthalpy at 0 K   -0.134 eV per atom

# Na17Sn2

A relaxed structure of Na17Sn2 (PBE-GGA, Alexandria via LeMat-Bulk).

```
Na17Sn2
1.0
8.900 0.963 3.896
2.908 8.467 3.896
1.206 0.963 9.640
Na Sn
17 2
direct
0.434 0.434 0.805 Na
0.434 0.805 0.434 Na
0.082 0.082 0.082 Na
0.918 0.918 0.918 Na
0.000 0.000 0.500 Na
0.500 0.000 0.000 Na
0.000 0.500 0.000 Na
0.327 0.673 0.000 Na
0.000 0.327 0.673 Na
0.673 0.000 0.327 Na
0.673 0.327 0.000 Na
0.000 0.673 0.327 Na
0.327 0.000 0.673 Na
0.566 0.195 0.566 Na
0.566 0.566 0.195 Na
0.195 0.566 0.566 Na
0.805 0.434 0.434 Na
0.710 0.710 0.710 Sn
0.290 0.290 0.290 Sn
```

Total moment   0.000 μB/atom
Mass density   1.626 g cm⁻³
Formation enthalpy at 0 K   0.039 eV per atom

# NaSn5

A relaxed structure of NaSn5 (PBE-GGA, Alexandria via LeMat-Bulk).

```
NaSn5
1.0
4.255 0.000 1.421
1.181 5.858 3.543
0.049 0.432 6.934
Na Sn
1 5
direct
0.500 0.500 0.500 Na
0.157 0.601 0.085 Sn
0.157 0.085 0.601 Sn
0.843 0.915 0.399 Sn
0.843 0.399 0.915 Sn
0.500 0.000 0.000 Sn
```

Total moment   0.000 μB/atom
Mass density   6.143 g cm⁻³
Formation enthalpy at 0 K   -0.035 eV per atom

# Na3Sn

A relaxed structure of Na3Sn (PBE-GGA, Alexandria via LeMat-Bulk).

```
Na3Sn
1.0
5.617 0.000 0.000
-2.808 6.075 0.000
0.000 0.000 7.220
Na Sn
6 2
direct
0.607 0.213 0.750 Na
0.393 0.787 0.250 Na
0.139 0.279 0.477 Na
0.861 0.721 0.523 Na
0.139 0.279 0.023 Na
0.861 0.721 0.977 Na
0.654 0.308 0.250 Sn
0.346 0.692 0.750 Sn
```

Total moment   0.000 μB/atom
Mass density   2.530 g cm⁻³
Formation enthalpy at 0 K   -0.074 eV per atom

Which value of mass density does entry 9 give?
2.758 g cm⁻³